# Dy6SnTe5 PBE relaxed
data_Dy6SnTe5
_space_group_name_H-M_alt 'C 1 2/m 1'
_space_group_IT_number 12
_cell_length_a 7.560
_cell_length_b 13.074
_cell_length_c 7.587
_cell_angle_alpha 90.00
_cell_angle_beta 109.29
_cell_angle_gamma 90.00
loop_
_space_group_symop_operation_xyz
'x,y,z'
'-x,-y,-z'
'-x,y,-z'
'x,-y,z'
'x+1/2,y+1/2,z'
'-x+1/2,-y+1/2,-z'
'-x+1/2,y+1/2,-z'
'x+1/2,-y+1/2,z'
loop_
_atom_site_label
_atom_site_type_symbol
_atom_site_fract_x
_atom_site_fract_y
_atom_site_fract_z
Dy1 Dy 0.241 0.000 0.254
Dy2 Dy 0.242 0.162 0.742
Sn1 Sn 0.000 0.000 0.500
Te1 Te 0.000 0.170 0.000
Te2 Te 0.000 0.334 0.500
Te3 Te 0.000 0.500 0.000
# Total moment (μB/f.u.): 0.0
# Formation energy (no corrections) (eV per atom): -1.23
# E_tot (eV per formula unit): -62.121